VASP calculation (GGA-PBE) on crystalline LaCrFePb2 at its relaxed geometry.

abc: 5.188 4.948 5.188
angles: 90.00 90.00 90.00
Site moments in Bohr magnetons follow the coordinates.
Positions (direct):
1 Pb 0.000 0.000 0.500  0.01
2 Pb 0.500 0.000 0.000  0.00
3 Cr 0.000 0.000 0.000  -0.09
4 Fe 0.500 0.500 0.500  -0.03
5 La 0.000 0.500 0.000  0.02

Computed properties:
E above lowest polymorph   0.000 eV/atom
Energy of formation from the pure elements   462 kJ/mol of formula units
Total magnetic moment   0.07 μB per formula unit